Arrangement w

This record from the Alexandria database describes crystalline RbMgI2N at its relaxed geometry. The functional is PBE-GGA.

Calculated values
Its total magnetization is 0.401 μB per atom. The space-group type is P4/mmm.

Structure (extended XYZ):
```
5
Lattice="6.144 0.000 0.000 0.000 6.144 0.000 0.000 0.000 4.269" Properties=species:S:1:pos:R:3 pbc="T T T"
I 0.000 3.072 0.000
I 3.072 0.000 0.000
Mg 0.000 0.000 0.000
Rb 3.072 3.072 2.134
N 0.000 0.000 2.134
```

***

Arrangement x

This record from the Alexandria database describes crystalline RbMgI2N at its relaxed geometry. The functional is PBE-GGA.

Calculated values
Its total magnetization is 0.701 μB per atom. The space-group type is P4/mmm.

Structure (extended XYZ):
```
5
Lattice="6.790 0.000 0.000 0.000 6.790 0.000 0.000 0.000 5.352" Properties=species:S:1:pos:R:3 pbc="T T T"
I 0.000 3.395 0.000
I 3.395 0.000 0.000
Mg 3.395 3.395 2.676
Rb 0.000 0.000 0.000
N 0.000 0.000 2.676
```

***

Taking the most stable structure as the zero point, the relative energies in eV/atom are arrangement w 0.000; arrangement x 1.089.

***

Arrangement w

This record from the Alexandria database describes crystalline MgReIN2 at its relaxed geometry. The functional is PBE-GGA.

Calculated values
Its total magnetization is 0.030 μB per atom. The space-group type is P4/mmm.

Structure (extended XYZ):
```
5
Lattice="3.938 0.000 0.000 0.000 3.938 0.000 0.000 0.000 5.833" Properties=species:S:1:pos:R:3 pbc="T T T"
I 0.000 0.000 2.916
Re 0.000 0.000 0.000
Mg 1.969 1.969 2.916
N 0.000 1.969 0.000
N 1.969 0.000 0.000
```

***

Arrangement x

This record from the Alexandria database describes crystalline MgReIN2 at its relaxed geometry. The functional is PBE-GGA.

Calculated values
Its total magnetization is 0.094 μB per atom. The space-group type is P4/mmm.

Structure (extended XYZ):
```
5
Lattice="4.118 0.000 0.000 0.000 4.118 0.000 0.000 0.000 5.538" Properties=species:S:1:pos:R:3 pbc="T T T"
I 0.000 0.000 2.769
Re 2.059 2.059 2.769
Mg 0.000 0.000 0.000
N 0.000 2.059 0.000
N 2.059 0.000 0.000
```

***

Taking the most stable structure as the zero point, the relative energies in eV/atom are arrangement w 0.000; arrangement x 1.583.

***

Arrangement w

This record from the Alexandria database describes crystalline MgRuIN2 at its relaxed geometry. The functional is PBE-GGA.

Calculated values
Its total magnetization is 0.058 μB per atom. The space-group type is P4/mmm.

Structure (extended XYZ):
```
5
Lattice="-3.471 0.624 1.695 -0.538 -3.862 0.321 2.557 0.077 5.207" Properties=species:S:1:pos:R:3 pbc="T T T"
I 1.279 0.038 2.604
Ru 0.000 0.000 0.000
Mg -0.726 -1.581 3.612
N -0.269 -1.931 0.161
N -1.735 0.312 0.848
```

***

Arrangement x

This record from the Alexandria database describes crystalline MgRuIN2 at its relaxed geometry. The functional is PBE-GGA.

Calculated values
Its total magnetization is 1.098 μB per atom. The space-group type is P4/mmm.

Structure (extended XYZ):
```
5
Lattice="4.029 0.000 0.000 0.000 4.029 0.000 0.000 0.000 6.045" Properties=species:S:1:pos:R:3 pbc="T T T"
I 0.000 0.000 3.022
Ru 2.015 2.015 3.022
Mg 0.000 0.000 0.000
N 0.000 2.015 0.000
N 2.015 0.000 0.000
```

***

Taking the most stable structure as the zero point, the relative energies in eV/atom are arrangement w 0.000; arrangement x 1.036.

***

Arrangement w

This record from the Alexandria database describes crystalline MgS2IN at its relaxed geometry. The functional is PBE-GGA.

Calculated values
Its total magnetization is 0.000 μB per atom. The space-group type is P4/mmm.

Structure (extended XYZ):
```
5
Lattice="5.212 0.000 0.000 0.000 5.212 0.000 0.000 0.000 3.930" Properties=species:S:1:pos:R:3 pbc="T T T"
I 0.000 0.000 0.000
S 0.000 2.606 0.000
S 2.606 0.000 0.000
Mg 2.606 2.606 1.965
N 0.000 0.000 1.965
```

***

Arrangement x

This record from the Alexandria database describes crystalline MgS2IN at its relaxed geometry. The functional is PBE-GGA.

Calculated values
Its total magnetization is 0.000 μB per atom. The space-group type is P4/mmm.

Structure (extended XYZ):
```
5
Lattice="-0.045 3.181 3.889 -2.419 -3.423 2.772 3.448 -1.447 1.223" Properties=species:S:1:pos:R:3 pbc="T T T"
I 0.492 -0.844 3.942
S -1.210 -1.711 1.386
S -0.023 1.591 1.945
Mg 0.000 0.000 0.000
N 1.724 -0.723 0.612
```

***

Taking the most stable structure as the zero point, the relative energies in eV/atom are arrangement w 0.000; arrangement x 0.033.